Material: TbErMgCo
Method: DFT, PBE-GGA
State: optimized geometry

```
4
Lattice="3.3908 0.0000 0.0000 0.0000 3.3908 0.0000 0.0000 0.0000 8.0589" Properties=species:S:1:pos:R:3 pbc="T T T"
Tb 1.6954 1.6954 6.2227
Er 1.6954 1.6954 2.9879
Mg 0.0000 0.0000 0.6050
Co 0.0000 0.0000 4.5672
```

Formation energy = -0.1432 eV per atom
Final energy = -0.3393 Ry/atom
Volume = 23.2 A^3/atom

=====

Material: TbErMgCo
Method: DFT, PBE-GGA
State: optimized geometry

```
4
Lattice="5.0078 0.0000 0.0000 2.5039 4.3369 0.0000 2.5039 1.4456 4.0888" Properties=species:S:1:pos:R:3 pbc="T T T"
Co 5.0078 2.8912 2.0444
Mg 0.0000 0.0000 0.0000
Tb 2.5039 1.4456 1.0222
Er 7.5117 4.3369 3.0666
```

Formation energy = -0.0126 eV per atom
Final energy = -0.3297 Ry/atom
Volume = 22.2 A^3/atom

=====

Material: YErMgCo
Method: DFT, PBE-GGA
State: optimized geometry

```
4
Lattice="5.0056 0.0000 0.0000 2.5028 4.3350 0.0000 2.5028 1.4450 4.0871" Properties=species:S:1:pos:R:3 pbc="T T T"
Y 7.5084 4.3350 3.0653
Mg 0.0000 0.0000 0.0000
Co 5.0056 2.8900 2.0435
Er 2.5028 1.4450 1.0218
```

Formation energy = -0.0195 eV per atom
Final energy = -0.3639 Ry/atom
Volume = 22.2 A^3/atom

=====

Material: YErMgCo
Method: DFT, PBE-GGA
State: optimized geometry

```
4
Lattice="3.3950 0.0000 0.0000 0.0000 3.3950 0.0000 0.0000 0.0000 8.0228" Properties=species:S:1:pos:R:3 pbc="T T T"
Y 1.6975 1.6975 6.2055
Er 1.6975 1.6975 2.9723
Mg 0.0000 0.0000 0.5993
Co 0.0000 0.0000 4.5412
```

Formation energy = -0.1483 eV per atom
Final energy = -0.3734 Ry/atom
Volume = 23.1 A^3/atom

=====

Material: ErMnCo2
Method: DFT, PBE-GGA
State: optimized geometry

```
16
Lattice="-4.2942 0.8659 1.2489 -1.5400 -3.5778 -2.8146 1.1006 -7.5909 9.0470" Properties=species:S:1:pos:R:3 pbc="T T T"
Er 0.3828 -6.1899 5.6076
Er -3.2036 -2.9300 -0.6764
Er -0.8222 -4.9788 0.6248
Er -1.5301 -7.3727 8.1578
Mn -2.5601 -7.3681 4.6130
Mn -2.1735 -2.9346 2.8683
Mn 0.1159 -4.3495 3.4142
Mn -0.5554 -6.8191 2.8182
Co 0.0000 0.0000 0.0000
Co -2.3668 -5.1514 3.7407
Co -1.2558 -8.8757 5.8157
Co -3.4778 -1.4270 1.6656
Co -3.4926 -8.4247 6.4662
Co -1.2410 -1.8781 1.0151
Co -0.7700 -1.7889 -1.4073
Co -1.5968 -3.3625 5.1480
```

Formation energy = 0.0715 eV per atom
Final energy = -0.5082 Ry/atom
Volume = 16.2 A^3/atom

=====

Material: Er2Mn2Co15
Method: DFT, PBE-GGA
State: optimized geometry

```
19
Lattice="-1.0844 3.6212 -5.0212 0.3128 -4.5484 -4.3262 -6.1742 -1.0928 -0.4331" Properties=species:S:1:pos:R:3 pbc="T T T"
Er -2.4180 -0.7032 -3.4049
Er -4.5277 -1.3168 -6.3757
Mn -0.7279 -0.2117 -1.0249
Mn -6.2179 -1.8083 -8.7556
Co -0.5422 1.8106 -2.5106
Co -3.0871 -0.5464 -0.2166
Co 0.1564 -2.2742 -2.1631
Co -1.5588 -3.5514 -3.2030
Co -0.6813 1.2641 -4.8207
Co -4.7057 0.2673 -1.7569
Co -0.0903 -2.1913 -4.5267
Co -2.5529 2.2611 -3.6975
Co -4.3025 -2.0898 -1.5563
Co -3.9735 -3.1047 -3.8652
Co -1.4535 -0.7707 -6.1369
Co -4.6654 0.9403 -4.2093
Co -2.9722 1.0847 -5.9154
Co -5.4923 -1.2493 -3.6437
Co -2.2804 -2.9603 -5.5712
```

Formation energy = -0.1045 eV per atom
Final energy = -0.5262 Ry/atom
Volume = 12.8 A^3/atom

=====

Material: Er3MnCo8
Method: DFT, PBE-GGA
State: optimized geometry

```
12
Lattice="4.9648 0.0000 0.0000 2.4824 4.2997 0.0000 2.4824 1.4332 8.1209" Properties=species:S:1:pos:R:3 pbc="T T T"
Er 4.9648 2.8664 7.0839
Er 7.4472 4.2997 0.1360
Er 4.9648 2.8664 3.9617
Mn 7.4472 4.2997 3.0900
Co 6.2045 2.1507 1.5620
Co 6.2207 5.0078 5.5310
Co 3.7252 2.1507 1.5620
Co 8.6737 5.0078 5.5310
Co 2.4824 1.4332 3.5362
Co 7.4472 4.2997 7.6083
Co 4.9648 4.2979 1.5620
Co 7.4472 2.8834 5.5310
```

Formation energy = -0.1788 eV per atom
Final energy = -0.5013 Ry/atom
Volume = 14.4 A^3/atom

=====

Material: ErMnCo2
Method: DFT, PBE-GGA
State: optimized geometry

```
4
Lattice="-1.6175 -2.0636 -1.6117 0.0140 -1.9012 2.4202 -5.2852 2.5527 2.0359" Properties=species:S:1:pos:R:3 pbc="T T T"
Mn -0.8018 -1.9824 0.4043
Co -4.1937 2.0256 1.6154
Co -1.0915 0.5272 0.4204
Er -3.4444 -0.7060 1.4222
```

Formation energy = 0.0256 eV per atom
Final energy = -0.5116 Ry/atom
Volume = 14.7 A^3/atom

=====

Material: Er2MnCo
Method: DFT, PBE-GGA
State: optimized geometry

```
4
Lattice="3.3559 0.0000 0.0000 0.0000 3.3559 0.0000 0.0000 0.0000 6.9362" Properties=species:S:1:pos:R:3 pbc="T T T"
Mn 1.6779 1.6779 3.4681
Co 1.6779 1.6779 0.0000
Er 0.0000 0.0000 5.3122
Er 0.0000 0.0000 1.6241
```

Formation energy = -0.0020 eV per atom
Final energy = -0.4669 Ry/atom
Volume = 19.5 A^3/atom

=====

Material: ErMnCo10
Method: DFT, PBE-GGA
State: optimized geometry

```
12
Lattice="-0.1938 3.6026 1.7531 -4.7261 -0.0332 -0.4541 -0.6877 -3.6502 7.4249" Properties=species:S:1:pos:R:3 pbc="T T T"
Er 0.0000 0.0000 0.0000
Mn -2.7069 -1.8417 3.4854
Co -0.2379 -1.2627 2.5685
Co -2.9155 -2.9490 5.7377
Co -2.4983 -0.7344 1.2330
Co -0.4498 -2.3875 4.8563
Co -0.4408 -0.0238 4.5890
Co -2.4599 1.7847 0.6495
Co -1.4568 0.8690 2.6421
Co -4.1508 -0.9498 6.0818
Co -3.8113 0.8524 2.4159
Co -1.7963 -0.9333 6.3080
```

Formation energy = 0.0554 eV per atom
Final energy = -0.5153 Ry/atom
Volume = 13.2 A^3/atom

=====

Material: ErMnCo
Method: DFT, PBE-GGA
State: optimized geometry

```
6
Lattice="-3.0147 -4.0960 -0.2353 3.2497 0.4208 3.8966 -2.1706 4.5010 0.9748" Properties=species:S:1:pos:R:3 pbc="T T T"
Er -2.2523 2.9415 1.2560
Er 0.3168 -2.1158 3.3800
Mn -0.9678 0.4129 2.3180
Mn 1.6249 0.2104 1.9483
Co 0.5396 2.4609 2.4357
Co -2.5927 0.2025 0.3697
```

Formation energy = -0.1208 eV per atom
Final energy = -0.5194 Ry/atom
Volume = 15.9 A^3/atom

=====

Material: Er2MnCo2
Method: DFT, PBE-GGA
State: optimized geometry

```
10
Lattice="-3.2300 3.3307 -2.6070 0.1853 -5.1646 -1.3957 -4.7282 -0.1296 5.6925" Properties=species:S:1:pos:R:3 pbc="T T T"
Er -2.2908 0.1573 -0.9034
Er -2.2323 -2.9692 0.4618
Er -5.4821 -2.1208 2.5932
Er -5.5406 1.0057 1.2280
Mn -4.0241 2.8982 -0.8708
Mn -3.9341 0.3028 3.9562
Co -4.5552 -1.4023 -0.0681
Co -3.1847 1.9073 -2.9698
Co -3.2177 -0.5612 1.7579
Co -4.5883 -3.8708 4.6596
```

Formation energy = -0.1847 eV per atom
Final energy = -0.4914 Ry/atom
Volume = 17.8 A^3/atom

=====

Q: formation energy of number 1 (TbErMgCo)?
A: -0.1432 eV per atom

=====

Q: Which formula does entry 1 have?
A: TbErMgCo

=====

Q: The highest final energy belongs to which entry?
A: number 2